1.
Compound: CeFeNi
Source: the Alexandria database
Functional: PBE
Structure: relaxed

The structure in CIF format:
```
data_CeFeNi
_cell_length_a 3.827
_cell_length_b 4.061
_cell_length_c 4.061
_cell_angle_alpha 120.00
_cell_angle_beta 90.00
_cell_angle_gamma 90.00
_space_group_name_H-M_alt 'P 1'
_space_group_IT_number 1
loop_
_space_group_symop_operation_xyz
'x,y,z'
loop_
_atom_site_label
_atom_site_fract_x
_atom_site_fract_y
_atom_site_fract_z
_atom_site_occupancy
Ni1 0.167 0.000 0.000 1
Ce1 0.667 0.667 0.333 1
Fe1 0.167 0.333 0.667 1
```

As for the magnetization: 1.4 μB/f.u. The formation energy comes out at -0.058 eV/atom. The calculation puts the total energy at -6.78 eV/atom. Its space group is P-6m2, No. 187.


2.
Compound: TmSi4Pd6
Source: the Alexandria database
Functional: PBE
Structure: relaxed

The structure in CIF format:
```
data_TmSi4Pd6
_cell_length_a 3.835
_cell_length_b 7.170
_cell_length_c 7.170
_cell_angle_alpha 120.00
_cell_angle_beta 90.00
_cell_angle_gamma 90.00
_space_group_name_H-M_alt 'P 1'
_space_group_IT_number 1
loop_
_space_group_symop_operation_xyz
'x,y,z'
loop_
_atom_site_label
_atom_site_fract_x
_atom_site_fract_y
_atom_site_fract_z
_atom_site_occupancy
Pd1 0.000 0.534 0.069 1
Si1 0.500 0.809 0.191 1
Pd2 0.000 0.534 0.466 1
Si2 0.500 0.382 0.191 1
Tm1 0.000 0.000 0.000 1
Pd3 0.500 0.197 0.394 1
Si3 0.000 0.333 0.667 1
Pd4 0.500 0.197 0.803 1
Pd5 0.500 0.606 0.803 1
Si4 0.500 0.809 0.618 1
Pd6 0.000 0.931 0.466 1
```

As for the magnetization: 0.0 μB/f.u. The formation energy from raw total energies comes out at -833.0 kJ/mol of formula units. The calculation puts the total energy at -6.00 eV/atom. Its space group is P-6m2, No. 187.


3.
Compound: Mg3Tc
Source: the Alexandria database
Functional: PBE
Structure: relaxed

The structure in CIF format:
```
data_Mg3Tc
_cell_length_a 2.914
_cell_length_b 5.103
_cell_length_c 5.182
_cell_angle_alpha 99.96
_cell_angle_beta 90.00
_cell_angle_gamma 73.41
_space_group_name_H-M_alt 'P 1'
_space_group_IT_number 1
loop_
_space_group_symop_operation_xyz
'x,y,z'
loop_
_atom_site_label
_atom_site_fract_x
_atom_site_fract_y
_atom_site_fract_z
_atom_site_occupancy
Mg1 0.258 0.483 0.230 1
Mg2 0.742 0.517 0.770 1
Mg3 0.500 0.000 0.500 1
Tc1 0.000 0.000 0.000 1
```

As for the magnetization: 0.0 μB/f.u. The formation energy comes out at 0.201 eV/atom. The calculation puts the total energy at -3.59 eV/atom. Its space group is C2/m, No. 12.


4.
Compound: Ce3Al2Zn7
Source: the Alexandria database
Functional: PBE
Structure: relaxed

The structure in CIF format:
```
data_Ce3Al2Zn7
_cell_length_a 4.212
_cell_length_b 4.212
_cell_length_c 14.491
_cell_angle_alpha 98.36
_cell_angle_beta 98.36
_cell_angle_gamma 90.00
_space_group_name_H-M_alt 'P 1'
_space_group_IT_number 1
loop_
_space_group_symop_operation_xyz
'x,y,z'
loop_
_atom_site_label
_atom_site_fract_x
_atom_site_fract_y
_atom_site_fract_z
_atom_site_occupancy
Zn1 0.000 0.000 0.000 1
Al1 0.134 0.134 0.268 1
Zn2 0.580 0.080 0.160 1
Zn3 0.420 0.920 0.840 1
Zn4 0.775 0.775 0.550 1
Ce1 0.668 0.668 0.336 1
Ce2 0.500 0.500 0.000 1
Zn5 0.080 0.580 0.160 1
Al2 0.866 0.866 0.732 1
Zn6 0.225 0.225 0.450 1
Zn7 0.920 0.420 0.840 1
Ce3 0.332 0.332 0.664 1
```

As for the magnetization: 1.9 μB/f.u. The formation energy comes out at -0.105 eV/atom. The calculation puts the total energy at -2.96 eV/atom. Its space group is I4/mmm, No. 139.


5.
Compound: Tb2Pm3Y7
Source: the Alexandria database
Functional: PBE
Structure: relaxed

The structure in CIF format:
```
data_Tb2Pm3Y7
_cell_length_a 3.590
_cell_length_b 5.866
_cell_length_c 18.874
_cell_angle_alpha 93.17
_cell_angle_beta 90.00
_cell_angle_gamma 90.00
_space_group_name_H-M_alt 'P 1'
_space_group_IT_number 1
loop_
_space_group_symop_operation_xyz
'x,y,z'
loop_
_atom_site_label
_atom_site_fract_x
_atom_site_fract_y
_atom_site_fract_z
_atom_site_occupancy
Y1 0.000 0.000 0.000 1
Y2 0.500 0.743 0.462 1
Pm1 0.000 0.220 0.366 1
Y3 0.000 0.313 0.856 1
Y4 0.500 0.257 0.538 1
Tb1 0.500 0.292 0.707 1
Y5 0.000 0.687 0.144 1
Pm2 0.500 0.500 0.000 1
Tb2 0.500 0.708 0.293 1
Y6 0.500 0.191 0.177 1
Pm3 0.000 0.780 0.634 1
Y7 0.500 0.809 0.823 1
```

As for the magnetization: 0.0 μB/f.u. The formation energy comes out at 0.085 eV/atom. The calculation puts the total energy at -5.65 eV/atom. Its space group is P2/m, No. 10.


6.
Compound: BaNdAu3
Source: the Alexandria database
Functional: PBE
Structure: relaxed

The structure in CIF format:
```
data_BaNdAu3
_cell_length_a 4.101
_cell_length_b 4.734
_cell_length_c 14.672
_cell_angle_alpha 90.00
_cell_angle_beta 98.03
_cell_angle_gamma 90.00
_space_group_name_H-M_alt 'P 1'
_space_group_IT_number 1
loop_
_space_group_symop_operation_xyz
'x,y,z'
loop_
_atom_site_label
_atom_site_fract_x
_atom_site_fract_y
_atom_site_fract_z
_atom_site_occupancy
Ba1 0.075 0.250 0.150 1
Ba2 0.925 0.750 0.850 1
Au1 0.374 0.250 0.748 1
Nd1 0.795 0.250 0.589 1
Au2 0.527 0.750 0.055 1
Au3 0.626 0.750 0.252 1
Au4 0.473 0.250 0.945 1
Nd2 0.205 0.750 0.411 1
Au5 0.689 0.250 0.378 1
Au6 0.311 0.750 0.622 1
```

As for the magnetization: 0.0 μB/f.u. The formation energy comes out at -0.755 eV/atom. The calculation puts the total energy at -4.06 eV/atom. Its space group is Cmcm, No. 63.


7.
Compound: Cr2BPAu
Source: the Alexandria database
Functional: PBE
Structure: relaxed

The structure in CIF format:
```
data_Cr2BPAu
_cell_length_a 5.048
_cell_length_b 3.957
_cell_length_c 5.048
_cell_angle_alpha 90.00
_cell_angle_beta 90.00
_cell_angle_gamma 90.00
_space_group_name_H-M_alt 'P 1'
_space_group_IT_number 1
loop_
_space_group_symop_operation_xyz
'x,y,z'
loop_
_atom_site_label
_atom_site_fract_x
_atom_site_fract_y
_atom_site_fract_z
_atom_site_occupancy
B1 0.000 0.500 0.000 1
P1 0.500 0.500 0.500 1
Au1 0.000 0.000 0.000 1
Cr1 0.000 0.000 0.500 1
Cr2 0.500 0.000 0.000 1
```

As for the magnetization: 8.0 μB/f.u. The formation energy comes out at 1.253 eV/atom. The calculation puts the total energy at -5.67 eV/atom. Its space group is P4/mmm, No. 123.


8.
Compound: CaNbGaBr2
Source: the Alexandria database
Functional: PBE
Structure: relaxed

The structure in CIF format:
```
data_CaNbGaBr2
_cell_length_a 5.150
_cell_length_b 5.302
_cell_length_c 5.150
_cell_angle_alpha 90.00
_cell_angle_beta 90.00
_cell_angle_gamma 90.00
_space_group_name_H-M_alt 'P 1'
_space_group_IT_number 1
loop_
_space_group_symop_operation_xyz
'x,y,z'
loop_
_atom_site_label
_atom_site_fract_x
_atom_site_fract_y
_atom_site_fract_z
_atom_site_occupancy
Nb1 0.000 0.000 0.000 1
Ga1 0.000 0.500 0.000 1
Br1 0.500 0.000 0.000 1
Br2 0.000 0.000 0.500 1
Ca1 0.500 0.500 0.500 1
```

As for the magnetization: 0.0 μB/f.u. The formation energy from raw total energies comes out at -85.7 kJ/mol of formula units. The calculation puts the total energy at -3.87 eV/atom. Its space group is P4/mmm, No. 123.


- total energy of number 3 (Mg3Tc)?
  -3.59 eV/atom


- Among the records above, which one has the highest magnetization?
  Cr2BPAu